A relaxed Y3ErTm3 crystal. Source: the Alexandria database, functional PBE.

a = 5.597 Å, b = 9.529 Å, c = 9.528 Å
α = 120.00°, β = 90.00°, γ = 90.00°
Positions (direct):
Tm1 0.750 0.905 0.521
Tm2 0.250 0.521 0.617
Tm3 0.750 0.617 0.096
Tm4 0.250 0.095 0.479
Tm5 0.750 0.479 0.383
Tm6 0.250 0.383 0.904
Y1 0.250 0.241 0.192
Y2 0.750 0.192 0.951
Y3 0.250 0.951 0.759
Y4 0.750 0.049 0.241
Y5 0.750 0.759 0.808
Y6 0.250 0.808 0.049
Er1 0.250 0.667 0.333
Er2 0.750 0.333 0.667

Summary:
Calculated volume in Å³/cell: 440.0
Uncorrected energy in eV per atom: -5.335
Formation energy in kJ/mol of formula units: 2

***

A relaxed BaSrCoSb2 crystal. Source: the Alexandria database, functional PBE.

a = 5.951 Å, b = 6.670 Å, c = 5.951 Å
α = 90.00°, β = 90.00°, γ = 90.00°
Site moments in Bohr magnetons follow the coordinates.
Positions (direct):
Sr1 0.000 0.000 0.000  0.01
Co1 0.500 0.500 0.500  2.26
Ba1 0.000 0.500 0.000  0.00
Sb1 0.000 0.000 0.500  0.01
Sb2 0.500 0.000 0.000  0.02

Summary:
Formation energy from raw total energies in eV per atom: 1.040
Calculated volume in Å³/cell: 236.2
Uncorrected energy in eV per atom: -2.751

***

A relaxed NdSi3Pd3 crystal. Source: the Alexandria database, functional PBE.

a = 4.256 Å, b = 8.917 Å, c = 8.918 Å
α = 120.00°, β = 90.00°, γ = 90.00°
Positions (direct):
Si1 0.250 0.576 0.945
Si2 0.750 0.630 0.576
Si3 0.250 0.055 0.630
Si4 0.750 0.945 0.370
Si5 0.250 0.370 0.424
Si6 0.750 0.424 0.055
Pd1 0.250 0.629 0.708
Pd2 0.250 0.292 0.921
Pd3 0.750 0.371 0.292
Pd4 0.250 0.079 0.371
Pd5 0.750 0.921 0.629
Pd6 0.750 0.708 0.079
Nd1 0.750 0.333 0.667
Nd2 0.250 0.667 0.333

Summary:
Formation energy from raw total energies in eV per atom: -0.538
Calculated volume in Å³/cell: 293.1
Uncorrected energy in eV per atom: -5.769